4
Lattice="-4.2594 2.4667 1.1308 -4.3115 -1.2027 -2.3389 -3.6801 -2.3486 2.5390" Properties=species:S:1:pos:R:3 comment="CePmBeGa, relaxed, DFT GGA-PBE" final_energy_ev_per_atom=-4.49 magnetic_moment_mub_per_cell=0.39 delta_e_f_ev_per_atom=-0.1291 pbc="T T T"
Be -9.1882 -0.8135 0.9982
Ce -6.1255 -0.5423 0.6655
Pm 0.0000 0.0000 0.0000
Ga -3.0627 -0.2712 0.3327

=====

5
Lattice="4.4878 0.0000 0.0000 0.0000 4.4878 0.0000 0.0000 0.0000 4.4878" Properties=species:S:1:pos:R:3 comment="LaCo3Re, relaxed, DFT GGA-PBE" final_energy_ev_per_atom=-5.71 magnetic_moment_mub_per_cell=5.40 de_polymorph_ev_per_atom=1.4429 delta_e_f_ev_per_atom=2.0306 pbc="T T T"
Co 2.2439 0.0000 0.0000
Co 0.0000 0.0000 2.2439
Co 0.0000 2.2439 0.0000
La 0.0000 0.0000 0.0000
Re 2.2439 2.2439 2.2439

=====

4
Lattice="-3.3876 -3.1622 -1.0716 -1.6087 -2.9843 3.3360 -4.3904 0.5330 1.7504" Properties=species:S:1:pos:R:3 comment="Fe2BiI, relaxed, DFT GGA-PBE" formation_energy_uncorrected_ev_per_fu=3.55 final_energy_ev_per_atom=-4.70 magnetic_moment_mub_per_cell=3.71 de_polymorph_ev_per_atom=0.1055 pbc="T T T"
I 0.0000 0.0000 0.0000
Bi -4.6933 -2.8068 2.0074
Fe -7.0400 -4.2101 3.0111
Fe -2.3467 -1.4034 1.0037